The following is a PBE calculation of crystalline YZnAs2Se at its relaxed geometry, from the Alexandria database.

abc: 5.519 5.519 5.387
angles: 90.00 90.00 90.00
Space group P4/mmm (No. 123)
Unique sites:
Y  0.000  0.000  0.000 [1 per cell]
Zn  0.500  0.500  0.500 [1 per cell]
As  0.000  0.500  0.000 [2 per cell]
Se  0.000  0.000  0.500 [1 per cell]

Properties
DOS(E_F) (states/eV/cell): 5.53
Energy above the most stable polymorph in this dataset (kJ/mol of formula units): 191
Calculated volume (Å³/cell): 164.1
Final energy (Ry per atom): -0.28043
E_form (uncorrected) (eV/atom): 0.2889